Entry 1:
DFT (PBE-GGA) results for a relaxed Si2IrAu crystal.

Cell: 4.147 4.147 6.923 Å, 90.00 90.00 90.00°
Space group I4/mmm (No. 139)
One atom of each set of equivalent atoms:
Si: 0.000 0.500 0.250 (multiplicity 4)
Ir: 0.000 0.000 0.000 (multiplicity 2)
Au: 0.000 0.000 0.500 (multiplicity 2)

Summary:
polymorph energy (0 for the lowest one)	34.8	kJ/mol of atoms
formation energy from raw total energies	150	meV/atom

=====

Entry 2:
DFT (PBE-GGA) results for a relaxed ZnHOsRu2 crystal.

Cell: 4.772 4.772 2.862 Å, 90.00 90.00 90.00°
Space group P4/mmm (No. 123)
One atom of each set of equivalent atoms:
Zn: 0.000 0.000 0.000 (multiplicity 1)
H: 0.000 0.000 0.500 (multiplicity 1)
Os: 0.500 0.500 0.500 (multiplicity 1)
Ru: 0.000 0.500 0.000 (multiplicity 2)

Summary:
polymorph energy (0 for the lowest one)	0.0	kJ/mol of atoms

=====

Entry 3:
DFT (PBE-GGA) results for a relaxed SrInPt2 crystal.

Cell: 3.995 4.329 5.618 Å, 90.00 110.82 90.00°
Space group Pm (No. 6)
One atom of each set of equivalent atoms:
Sr: 0.000 0.000 0.000 (multiplicity 1)
In: 0.706 0.500 0.414 (multiplicity 1)
Pt: 0.278 0.000 0.549 (multiplicity 1)
Pt: 0.433 0.500 0.866 (multiplicity 1)

Summary:
DFT formation energy	-0.583	eV per atom

=====

Entry 4:
DFT (PBE-GGA) results for a relaxed Sc2SiN2 crystal.

Cell: 3.961 3.961 9.984 Å, 90.00 90.00 90.00°
Space group I4/mmm (No. 139)
One atom of each set of equivalent atoms:
Sc: 0.000 0.000 0.178 (multiplicity 4)
Si: 0.000 0.000 0.500 (multiplicity 2)
N: 0.000 0.500 0.250 (multiplicity 4)

Summary:
polymorph energy (0 for the lowest one)	0.0	kJ/mol of atoms
formation energy from raw total energies	-610	meV/atom

=====

Entry 5:
DFT (PBE-GGA) results for a relaxed Pr8Pt3SeBr4 crystal.

Cell: 14.874 8.588 9.030 Å, 90.00 123.30 90.00°
Space group C2/m (No. 12)
One atom of each set of equivalent atoms:
Pr: 0.015 0.242 0.289 (multiplicity 8)
Pr: 0.232 0.000 0.696 (multiplicity 4)
Pr: 0.242 0.500 0.710 (multiplicity 4)
Pt: 0.000 0.000 0.500 (multiplicity 2)
Pt: 0.250 0.250 0.500 (multiplicity 4)
Se: 0.000 0.500 0.500 (multiplicity 2)
Br: 0.000 0.000 0.000 (multiplicity 2)
Br: 0.000 0.500 0.000 (multiplicity 2)
Br: 0.250 0.250 0.000 (multiplicity 4)

Summary:
formation energy from raw total energies	-1286	meV/atom

=====

Entry 6:
DFT (PBE-GGA) results for a relaxed Al2FeTc crystal.

Cell: 2.953 4.127 8.733 Å, 90.00 90.00 90.00°
Space group Imm2 (No. 44)
One atom of each set of equivalent atoms:
Al: 0.000 0.000 0.000 (multiplicity 2)
Al: 0.000 0.500 0.224 (multiplicity 2)
Fe: 0.000 0.500 0.734 (multiplicity 2)
Tc: 0.000 0.000 0.467 (multiplicity 2)

Summary:
polymorph energy (0 for the lowest one)	3.5	kJ/mol of atoms
DFT formation energy	-0.269	eV per atom

=====

Entry 7:
DFT (PBE-GGA) results for a relaxed Be2RuCl crystal.

Cell: 3.253 3.253 9.474 Å, 90.00 90.00 90.00°
Space group I-4m2 (No. 119)
One atom of each set of equivalent atoms:
Be: 0.000 0.000 0.000 (multiplicity 2)
Be: 0.000 0.500 0.250 (multiplicity 2)
Ru: 0.000 0.000 0.500 (multiplicity 2)
Cl: 0.000 0.500 0.750 (multiplicity 2)

Summary:
polymorph energy (0 for the lowest one)	54.4	kJ/mol of atoms
formation energy from raw total energies	513	meV/atom

=====

Entry 8:
DFT (PBE-GGA) results for a relaxed Ca2HfOs crystal.

Cell: 10.335 10.335 4.987 Å, 90.00 90.00 90.00°
Space group I-42d (No. 122)
One atom of each set of equivalent atoms:
Ca: 0.111 0.250 0.125 (multiplicity 8)
Hf: 0.000 0.000 0.500 (multiplicity 4)
Os: 0.000 0.000 0.000 (multiplicity 4)

Summary:
polymorph energy (0 for the lowest one)	0.0	kJ/mol of atoms
DFT formation energy	0.583	eV per atom

=====

Entry 9:
DFT (PBE-GGA) results for a relaxed YZn2AsI crystal.

Cell: 5.091 5.091 5.817 Å, 90.00 90.00 90.00°
Space group P4/mmm (No. 123)
One atom of each set of equivalent atoms:
Y: 0.000 0.000 0.000 (multiplicity 1)
Zn: 0.000 0.500 0.500 (multiplicity 2)
As: 0.500 0.500 0.000 (multiplicity 1)
I: 0.000 0.000 0.500 (multiplicity 1)

Summary:
formation energy from raw total energies	632	meV/atom

=====

Entry 10:
DFT (PBE-GGA) results for a relaxed PmNdBiTe crystal.

Cell: 7.857 7.857 7.857 Å, 90.00 90.00 90.00°
Space group F-43m (No. 216)
One atom of each set of equivalent atoms:
Pm: 0.000 0.000 0.000 (multiplicity 4)
Nd: 0.000 0.000 0.500 (multiplicity 4)
Bi: 0.250 0.250 0.750 (multiplicity 4)
Te: 0.250 0.250 0.250 (multiplicity 4)

Summary:
formation energy from raw total energies	-986	meV/atom

=====

Entry 11:
DFT (PBE-GGA) results for a relaxed Pr7Y2Er3 crystal.

Cell: 6.347 5.566 12.383 Å, 90.00 90.06 90.00°
Space group P2/m (No. 10)
One atom of each set of equivalent atoms:
Pr: 0.000 0.000 0.000 (multiplicity 1)
Pr: 0.095 0.500 0.172 (multiplicity 2)
Pr: 0.245 0.500 0.455 (multiplicity 2)
Pr: 0.447 0.000 0.184 (multiplicity 2)
Y: 0.379 0.500 0.725 (multiplicity 2)
Er: 0.064 0.000 0.657 (multiplicity 2)
Er: 0.500 0.500 0.000 (multiplicity 1)

Summary:
polymorph energy (0 for the lowest one)	18.4	kJ/mol of atoms
DFT formation energy	0.285	eV per atom

=====

Entry 12:
DFT (PBE-GGA) results for a relaxed BeTcRu3 crystal.

Cell: 4.059 4.059 4.059 Å, 90.00 90.00 90.00°
Space group Pm-3m (No. 221)
One atom of each set of equivalent atoms:
Be: 0.000 0.000 0.000 (multiplicity 1)
Tc: 0.500 0.500 0.500 (multiplicity 1)
Ru: 0.000 0.000 0.500 (multiplicity 3)

Summary:
polymorph energy (0 for the lowest one)	0.0	kJ/mol of atoms
DFT formation energy	0.487	eV per atom

=====

Entry 13:
DFT (PBE-GGA) results for a relaxed Ba2SrCd crystal.

Cell: 4.402 6.428 13.457 Å, 90.00 90.00 90.00°
Space group Immm (No. 71)
One atom of each set of equivalent atoms:
Ba: 0.000 0.000 0.206 (multiplicity 4)
Sr: 0.000 0.500 0.000 (multiplicity 2)
Cd: 0.000 0.500 0.500 (multiplicity 2)

Summary:
DFT formation energy	-0.091	eV per atom

=====

Entry 14:
DFT (PBE-GGA) results for a relaxed RbTcPb2 crystal.

Cell: 6.940 6.940 15.404 Å, 90.00 90.00 90.00°
Space group I4_1/amd (No. 141, origin choice 2)
One atom of each set of equivalent atoms:
Rb: 0.000 0.250 0.375 (multiplicity 4)
Tc: 0.000 0.250 0.875 (multiplicity 4)
Pb: 0.000 0.000 0.000 (multiplicity 8)

Summary:
polymorph energy (0 for the lowest one)	0.0	kJ/mol of atoms
DFT formation energy	0.509	eV per atom

=====

Entry 15:
DFT (PBE-GGA) results for a relaxed Er3In2Sn crystal.

Cell: 5.2746 5.2746 6.5209 Å, 90.00 90.00 120.00°
Space group P-3m1 (No. 164)
One atom of each set of equivalent atoms:
Er: 0.0000 0.0000 0.0000 (multiplicity 1)
Er: 0.3333 0.6667 0.6518 (multiplicity 2)
In: 0.3333 0.6667 0.1485 (multiplicity 2)
Sn: 0.0000 0.0000 0.5000 (multiplicity 1)

Summary:
polymorph energy (0 for the lowest one)	0.0	kJ/mol of atoms
DFT formation energy	-0.480	eV per atom

=====

Entry 16:
DFT (PBE-GGA) results for a relaxed FePRu2 crystal.

Cell: 2.858 4.098 4.503 Å, 90.00 90.00 90.00°
Space group Pmmm (No. 47)
One atom of each set of equivalent atoms:
Fe: 0.000 0.000 0.000 (multiplicity 1)
P: 0.500 0.000 0.500 (multiplicity 1)
Ru: 0.000 0.500 0.500 (multiplicity 1)
Ru: 0.500 0.500 0.000 (multiplicity 1)

Summary:
DFT formation energy	0.177	eV per atom

=====

Entry 17:
DFT (PBE-GGA) results for a relaxed ScInMo crystal.

Cell: 3.207 3.819 9.564 Å, 90.00 90.00 90.00°
Space group Imm2 (No. 44)
One atom of each set of equivalent atoms:
Sc: 0.000 0.000 0.000 (multiplicity 2)
In: 0.000 0.000 0.684 (multiplicity 2)
Mo: 0.000 0.000 0.343 (multiplicity 2)

Summary:
polymorph energy (0 for the lowest one)	0.0	kJ/mol of atoms
DFT formation energy	0.051	eV per atom

=====

Entry 18:
DFT (PBE-GGA) results for a relaxed Ti2MnH4 crystal.

Cell: 7.874 7.874 7.874 Å, 90.00 90.00 90.00°
Space group Fd-3m (No. 227, origin choice 2)
One atom of each set of equivalent atoms:
Ti: 0.000 0.000 0.000 (multiplicity 16)
Mn: 0.125 0.125 0.625 (multiplicity 8)
H: 0.008 0.008 0.242 (multiplicity 32)

=====

Entry 19:
DFT (PBE-GGA) results for a relaxed LaHgBiSb crystal.

Cell: 7.798 7.798 7.798 Å, 90.00 90.00 90.00°
Space group F-43m (No. 216)
One atom of each set of equivalent atoms:
La: 0.000 0.000 0.000 (multiplicity 4)
Hg: 0.250 0.250 0.250 (multiplicity 4)
Bi: 0.000 0.000 0.500 (multiplicity 4)
Sb: 0.250 0.250 0.750 (multiplicity 4)

Summary:
polymorph energy (0 for the lowest one)	14.5	kJ/mol of atoms
formation energy from raw total energies	-442	meV/atom

=====

Entry 20:
DFT (PBE-GGA) results for a relaxed Ba3GeP crystal.

Cell: 6.137 6.137 6.137 Å, 90.00 90.00 90.00°
Space group Pm-3m (No. 221)
One atom of each set of equivalent atoms:
Ba: 0.000 0.000 0.500 (multiplicity 3)
Ge: 0.500 0.500 0.500 (multiplicity 1)
P: 0.000 0.000 0.000 (multiplicity 1)

Summary:
polymorph energy (0 for the lowest one)	0.0	kJ/mol of atoms
DFT formation energy	-0.420	eV per atom

=====

Entry 21:
DFT (PBE-GGA) results for a relaxed Pm3HfGe4 crystal.

Cell: 5.855 5.855 11.788 Å, 90.00 90.00 90.00°
Space group I4/mmm (No. 139)
One atom of each set of equivalent atoms:
Pm: 0.000 0.000 0.000 (multiplicity 2)
Pm: 0.000 0.500 0.250 (multiplicity 4)
Hf: 0.000 0.000 0.500 (multiplicity 2)
Ge: 0.000 0.000 0.268 (multiplicity 4)
Ge: 0.000 0.500 0.000 (multiplicity 4)

Summary:
DFT formation energy	-0.604	eV per atom

=====

Entry 22:
DFT (PBE-GGA) results for a relaxed PuScHgIr crystal.

Cell: 3.204 3.204 8.141 Å, 90.00 90.00 90.00°
Space group P4mm (No. 99)
One atom of each set of equivalent atoms:
Pu: 0.000 0.000 0.000 (multiplicity 1)
Sc: 0.000 0.000 0.566 (multiplicity 1)
Hg: 0.500 0.500 0.302 (multiplicity 1)
Ir: 0.500 0.500 0.756 (multiplicity 1)

Summary:
DFT formation energy	-0.517	eV per atom

=====

Entry 23:
DFT (PBE-GGA) results for a relaxed LiReTc2 crystal.

Cell: 2.896 4.443 9.227 Å, 90.00 90.00 90.00°
Space group Cmm2 (No. 35)
One atom of each set of equivalent atoms:
Li: 0.000 0.000 0.000 (multiplicity 2)
Re: 0.000 0.500 0.743 (multiplicity 2)
Tc: 0.000 0.000 0.499 (multiplicity 2)
Tc: 0.000 0.500 0.257 (multiplicity 2)

Summary:
polymorph energy (0 for the lowest one)	13.5	kJ/mol of atoms
DFT formation energy	0.270	eV per atom

=====

Entry 24:
DFT (PBE-GGA) results for a relaxed CuTc2Br crystal.

Cell: 2.888 4.483 9.830 Å, 90.00 90.00 90.00°
Space group Imm2 (No. 44)
One atom of each set of equivalent atoms:
Cu: 0.000 0.000 0.000 (multiplicity 2)
Tc: 0.000 0.000 0.497 (multiplicity 2)
Tc: 0.000 0.500 0.784 (multiplicity 2)
Br: 0.000 0.500 0.225 (multiplicity 2)

Summary:
polymorph energy (0 for the lowest one)	42.2	kJ/mol of atoms
formation energy from raw total energies	793	meV/atom

=====

Entry 25:
DFT (PBE-GGA) results for a relaxed Ti10Nb4Ga crystal.

Cell: 4.623 7.255 8.348 Å, 103.69 90.78 106.75°
Space group P-1 (No. 2)
One atom of each set of equivalent atoms:
Ti: 0.025 0.057 0.193 (multiplicity 2)
Ti: 0.205 0.353 0.008 (multiplicity 2)
Ti: 0.240 0.454 0.390 (multiplicity 2)
Ti: 0.353 0.743 0.208 (multiplicity 2)
Ti: 0.434 0.855 0.600 (multiplicity 2)
Nb: 0.099 0.194 0.594 (multiplicity 2)
Nb: 0.265 0.590 0.803 (multiplicity 2)
Ga: 0.500 0.000 0.000 (multiplicity 1)

Summary:
DFT formation energy	-0.032	eV per atom

=====

Entry 26:
DFT (PBE-GGA) results for a relaxed CeYCd4 crystal.

Cell: 8.408 8.408 8.408 Å, 90.00 90.00 90.00°
Space group F-43m (No. 216)
One atom of each set of equivalent atoms:
Ce: 0.000 0.000 0.000 (multiplicity 4)
Y: 0.250 0.250 0.750 (multiplicity 4)
Cd: 0.125 0.125 0.375 (multiplicity 16)

Summary:
polymorph energy (0 for the lowest one)	5.4	kJ/mol of atoms
DFT formation energy	-0.231	eV per atom

=====

Electronic total energy per entry: -0.41133, -0.42503, -0.34606, -0.55545, -0.40017, -0.50326, -0.30362, -0.41992, -0.17718, -0.37642, -0.34698, -0.58044, -0.12505, -0.30710, -0.31906, -0.58278, -0.48378, -0.41781, -0.27561, -0.26306, -0.43646, -0.58603, -0.62500, -0.42866, -0.60138, -0.21366 Ry/atom